NdY4Th3 | the Alexandria database | PBE | optimized geometry; space-group type = No. 12; energy of formation = 41 kJ/mol of formula units; magnetic moment = 0.0 μB/cell
1.0
5.9072 0.8868 -1.6886
0.7768 5.9226 -1.7494
-1.6804 -1.6428 8.4445
Y Th Nd
4 3 1
direct
0.2469 0.7471 0.4938 Y
0.7531 0.2529 0.5062 Y
0.6241 0.6244 0.2486 Y
0.3759 0.3756 0.7514 Y
0.8778 0.8779 0.7555 Th
0.1222 0.1221 0.2445 Th
0.0000 0.5000 0.0000 Th
0.5000 0.0000 0.0000 Nd

Nd2Y5Th4 | the Alexandria database | PBE | optimized geometry; space-group type = No. 12; energy of formation = 134 kJ/mol of formula units; magnetic moment = 0.0 μB/cell
1.0
-0.1301 -1.2607 -3.2857
8.4984 1.2431 -0.8137
1.1860 -10.7340 5.9588
Y Th Nd
5 4 2
direct
0.8704 0.9562 0.7408 Y
0.1837 0.4712 0.3674 Y
0.8163 0.5288 0.6326 Y
0.5000 0.0000 0.0000 Y
0.1296 0.0438 0.2592 Y
0.4155 0.3155 0.8310 Th
0.9561 0.6487 0.9122 Th
0.0439 0.3513 0.0878 Th
0.5845 0.6845 0.1690 Th
0.2747 0.1754 0.5494 Nd
0.7253 0.8246 0.4506 Nd

NdYTh3 | the Alexandria database | PBE | optimized geometry; space-group type = No. 74; energy of formation = 178 kJ/mol of formula units; magnetic moment = 0.0 μB/cell
1.0
5.5866 0.0000 -2.1793
-1.7041 11.0099 -4.3684
-0.2734 -3.5504 7.5493
Nd Th Y
2 6 2
direct
0.0000 0.5000 0.0000 Nd
0.5000 0.0000 0.0000 Nd
0.0000 0.5000 0.5000 Th
0.0000 0.0000 0.5000 Th
0.6689 0.1689 0.8378 Th
0.6689 0.6689 0.8378 Th
0.3311 0.8311 0.1622 Th
0.3311 0.3311 0.1622 Th
0.3006 0.2500 0.5000 Y
0.6994 0.7500 0.5000 Y

NdY9Th2 | the Alexandria database | PBE | optimized geometry; space-group type = No. 123; energy of formation = 41 kJ/mol of formula units; magnetic moment = 0.0 μB/cell
1.0
5.0617 0.0000 0.0000
0.0000 5.0617 0.0000
0.0000 0.0000 15.2283
Th Nd Y
2 1 9
direct
0.0000 0.0000 0.3343 Th
0.0000 0.0000 0.6657 Th
0.0000 0.0000 0.0000 Nd
0.5000 0.0000 0.8295 Y
0.5000 0.5000 0.0000 Y
0.5000 0.5000 0.3341 Y
0.5000 0.0000 0.5000 Y
0.0000 0.5000 0.8295 Y
0.0000 0.5000 0.1705 Y
0.5000 0.0000 0.1705 Y
0.0000 0.5000 0.5000 Y
0.5000 0.5000 0.6659 Y